Here is a geometry-optimized CrRuBr structure from the Alexandria database. Energies are from GGA-PBE.

Cell: 5.747 5.747 5.747 Å, 150.41 150.41 42.33°
Sites, in units of the cell vectors:
1 Cr 0.000 0.000 0.000
2 Ru 0.636 0.636 0.000
3 Br 0.337 0.337 0.000

Output
VASP energy	-18.87	eV per cell
formation energy from raw total energies	569	meV per atom
DOS(E_F)	1.024	states/eV/atom
polymorph energy (0 for the lowest one)	14	meV/atom
SG	I4mm
volume	15.39	Å³ per atom
crystal system	tetragonal

=====

Here is a geometry-optimized CdGaI4 structure from the Alexandria database. Energies are from GGA-PBE.

Cell: 8.490 8.490 7.514 Å, 114.84 114.84 28.60°
Sites, in units of the cell vectors:
1 Cd 0.000 0.000 0.000
2 Ga 0.500 0.500 0.500
3 I 0.118 0.118 0.447
4 I 0.383 0.383 0.054
5 I 0.617 0.617 0.946
6 I 0.882 0.882 0.553

Output
VASP energy	-12.68	eV per cell
formation energy from raw total energies	-424	meV per atom
DOS(E_F)	0.547	states/eV/atom
polymorph energy (0 for the lowest one)	0	meV/atom
SG	C2/m
volume	38.93	Å³ per atom
crystal system	monoclinic

=====

Here is a geometry-optimized Al3Cu2 structure from the Alexandria database. Energies are from GGA-PBE.

Cell: 6.324 6.099 8.197 Å, 49.91 47.54 82.55°
Sites, in units of the cell vectors:
1 Al 0.000 0.000 0.000
2 Al 0.250 0.250 0.250
3 Al 0.505 0.543 0.278
4 Al 0.543 0.505 0.674
5 Al 0.576 0.972 0.707
6 Al 0.972 0.576 0.745
7 Cu 0.041 0.529 0.044
8 Cu 0.206 0.864 0.209
9 Cu 0.529 0.041 0.386
10 Cu 0.864 0.206 0.721

Output
VASP energy	-39.68	eV per cell
DOS(E_F)	0.232	states/eV/atom
polymorph energy (0 for the lowest one)	75	meV/atom
formation energy	-0.08	eV per atom
SG	Fdd2
volume	15.01	Å³ per atom
crystal system	orthorhombic

=====

Here is a geometry-optimized Ca2AlIn structure from the Alexandria database. Energies are from GGA-PBE.

Cell: 6.233 6.233 5.563 Å, 108.57 108.57 33.14°
Sites, in units of the cell vectors:
1 Ca 0.000 0.000 0.000
2 Ca 0.203 0.203 0.653
3 Al 0.452 0.452 0.476
4 In 0.761 0.761 0.192

Output
VASP energy	-11.55	eV per cell
DOS(E_F)	0.492	states/eV/atom
polymorph energy (0 for the lowest one)	59	meV/atom
formation energy	-0.27	eV per atom
SG	Cm
volume	27.86	Å³ per atom
crystal system	monoclinic